Below is a geometry-optimized DyTh3Sc6 structure, with properties calculated at the PBE level.

DFT total energy: -64.38 eV per formula unit
SG: P1, No. 1
Volume: 27.74 Å³/atom
Size of the total moment: 0.0 μB per cell
E_form: 47 meV per atom

Cell: 8.797 11.419 6.440 Å, 43.05 42.92 44.39°
Sites, in units of the cell vectors:
Dy 0.714 0.992 0.535
Th 0.293 0.204 0.054
Th 0.690 0.403 0.265
Th 0.109 0.199 0.737
Sc 0.918 0.606 0.138
Sc 0.315 0.797 0.342
Sc 0.508 0.408 0.938
Sc 0.088 0.602 0.459
Sc 0.890 0.994 0.860
Sc 0.477 0.794 0.672


Below is a geometry-optimized SiPt2C structure, with properties calculated at the PBE level.

DFT total energy: -23.30 eV per formula unit
Energy relative to the elements, uncorrected: 858 meV/atom
SG: Fm-3m, No. 225
Volume: 12.97 Å³/atom
Size of the total moment: 0.0 μB per cell

Cell: 4.187 4.187 4.187 Å, 60.00 60.00 60.00°
Sites, in units of the cell vectors:
Si 0.500 0.500 0.500
C 0.000 0.000 0.000
Pt 0.250 0.250 0.250
Pt 0.750 0.750 0.750


Below is a geometry-optimized Ag2HgMo structure, with properties calculated at the PBE level.

DFT total energy: -14.78 eV per formula unit
SG: P2/m, No. 10
Volume: 18.26 Å³/atom
Size of the total moment: 0.8 μB per cell
E_form: 515 meV per atom

Cell: 4.895 2.765 5.407 Å, 86.76 90.00 90.00°
Last column: magnetic moment on the atom in μB.
Sites, in units of the cell vectors:
Ag 0.000 0.054 0.989  0.02
Ag 0.000 0.446 0.511  0.02
Hg 0.500 0.250 0.250  -0.01
Mo 0.500 0.750 0.750  0.67


Below is a geometry-optimized AcPrRu2O8 structure, with properties calculated at the PBE level.

DFT total energy: -87.61 eV per formula unit
Energy relative to the elements, uncorrected: -1709 meV/atom
SG: P-3, No. 147
Volume: 18.97 Å³/atom
Size of the total moment: 2.0 μB per cell

Cell: 5.915 5.915 7.514 Å, 90.00 90.00 120.00°
Last column: magnetic moment on the atom in μB.
Sites, in units of the cell vectors:
Ac 0.000 0.000 0.000  0.01
Pr 0.000 0.000 0.500  0.00
Ru 0.667 0.333 0.199  0.58
Ru 0.333 0.667 0.801  0.58
O 0.333 0.667 0.041  0.15
O 0.320 0.161 0.271  0.07
O 0.839 0.159 0.271  0.07
O 0.667 0.333 0.959  0.15
O 0.161 0.841 0.729  0.07
O 0.680 0.839 0.729  0.07
O 0.159 0.320 0.729  0.07
O 0.841 0.680 0.271  0.07


Below is a geometry-optimized Tb3Pm2Zn2 structure, with properties calculated at the PBE level.

DFT total energy: -26.84 eV per formula unit
SG: Cmmm, No. 65
Volume: 28.21 Å³/atom
Size of the total moment: 0.7 μB per cell
E_form: -128 meV per atom

Cell: 3.640 3.566 15.321 Å, 90.00 96.82 90.00°
Last column: magnetic moment on the atom in μB.
Sites, in units of the cell vectors:
Tb 0.417 0.500 0.834  0.00
Tb 0.583 0.500 0.166  0.00
Tb 0.000 0.000 0.000  0.01
Pm 0.301 0.500 0.601  0.19
Pm 0.699 0.500 0.399  0.19
Zn 0.139 0.000 0.278  0.00
Zn 0.861 0.000 0.722  0.00


Below is a geometry-optimized PS structure, with properties calculated at the PBE level.

DFT total energy: -9.24 eV per formula unit
Energy relative to the elements, uncorrected: 149 meV/atom
SG: C2/m, No. 12
Volume: 26.06 Å³/atom
Size of the total moment: 0.0 μB per cell

Cell: 3.060 6.001 6.071 Å, 83.96 75.40 75.23°
Sites, in units of the cell vectors:
P 0.481 0.560 0.477
P 0.769 0.856 0.606
S 0.099 0.977 0.825
S 0.151 0.440 0.258


Below is a geometry-optimized ThCd2In2Ag2 structure, with properties calculated at the PBE level.

DFT total energy: -21.29 eV per formula unit
SG: R-3m, No. 166
Volume: 24.02 Å³/atom
Size of the total moment: 0.0 μB per cell
E_form: -123 meV per atom

Cell: 4.829 4.829 8.780 Å, 74.04 74.04 60.00°
Sites, in units of the cell vectors:
Th 0.000 0.000 0.000
Cd 0.137 0.137 0.589
Cd 0.863 0.863 0.411
In 0.739 0.739 0.782
In 0.261 0.261 0.218
Ag 0.588 0.588 0.236
Ag 0.412 0.412 0.764


Below is a geometry-optimized Rb4Pu3NiSe8 structure, with properties calculated at the PBE level.

DFT total energy: -99.12 eV per formula unit
Energy relative to the elements, uncorrected: -1162 meV/atom
SG: R-3m, No. 166
Volume: 30.38 Å³/atom
Size of the total moment: 12.0 μB per cell

Cell: 8.414 9.301 8.413 Å, 116.92 120.00 90.00°
Last column: magnetic moment on the atom in μB.
Sites, in units of the cell vectors:
Rb 0.500 0.000 0.000  -0.01
Rb 0.500 0.000 0.500  -0.01
Rb 0.000 0.000 0.000  -0.01
Rb 0.000 0.000 0.500  -0.01
Pu 0.500 0.500 0.000  4.94
Pu 0.500 0.500 0.500  4.94
Pu 0.000 0.500 0.500  4.94
Ni 0.000 0.500 0.000  -1.22
Se 0.221 0.685 0.964  -0.17
Se 0.221 0.685 0.443  -0.17
Se 0.268 0.303 0.535  -0.12
Se 0.742 0.685 0.964  -0.17
Se 0.258 0.315 0.036  -0.17
Se 0.732 0.697 0.465  -0.12
Se 0.779 0.315 0.557  -0.17
Se 0.779 0.315 0.036  -0.17


Below is a geometry-optimized DyHSe2 structure, with properties calculated at the PBE level.

DFT total energy: -19.40 eV per formula unit
SG: C2/m, No. 12
Volume: 25.40 Å³/atom
Size of the total moment: 0.0 μB per cell

Cell: 4.244 6.961 7.344 Å, 99.91 90.00 107.75°
Sites, in units of the cell vectors:
Dy 0.750 0.500 0.250
Dy 0.250 0.500 0.750
H 0.000 0.000 0.000
H 0.500 0.000 0.500
Se 0.366 0.731 0.454
Se 0.634 0.269 0.546
Se 0.866 0.731 0.954
Se 0.134 0.269 0.046


Below is a geometry-optimized ReSe3 structure, with properties calculated at the PBE level.

DFT total energy: -19.74 eV per formula unit
Energy relative to the elements, uncorrected: 791 meV/atom
SG: Fm-3m, No. 225
Volume: 17.26 Å³/atom
Size of the total moment: 0.0 μB per cell

Cell: 4.605 4.605 4.605 Å, 60.00 60.00 60.00°
Sites, in units of the cell vectors:
Re 0.000 0.000 0.000
Se 0.750 0.750 0.750
Se 0.500 0.500 0.500
Se 0.250 0.250 0.250


Below is a geometry-optimized ZnSn3Ru structure, with properties calculated at the PBE level.

DFT total energy: -21.49 eV per formula unit
SG: Pm-3m, No. 221
Volume: 27.11 Å³/atom
Size of the total moment: 0.0 μB per cell
E_form: 214 meV per atom

Cell: 5.137 5.137 5.137 Å, 90.00 90.00 90.00°
Sites, in units of the cell vectors:
Ru 0.000 0.000 0.000
Zn 0.500 0.500 0.500
Sn 0.000 0.500 0.000
Sn 0.000 0.000 0.500
Sn 0.500 0.000 0.000


Below is a geometry-optimized DyGaSn structure, with properties calculated at the PBE level.

DFT total energy: -13.22 eV per formula unit
SG: P3m1, No. 156
Volume: 24.40 Å³/atom
Size of the total moment: 0.0 μB per cell
E_form: -529 meV per atom

Cell: 4.394 4.386 4.386 Å, 120.00 90.00 90.00°
Sites, in units of the cell vectors:
Sn 0.598 0.333 0.667
Ga 0.368 0.667 0.333
Dy 0.033 0.000 0.000